DFT (PBE) results for a relaxed structure of DyHg2.

As for the total DFT energy (no corrections): -21.46 eV for the cell shown. As for the energy of formation from the pure elements: 838 meV per atom.

a b c (Å): 13.6503 13.6503 13.6503
angles (deg): 90.00 90.00 90.00
Space group Fd-3m (No. 227, origin choice 2)
Symmetry-distinct sites (fractional):
Dy1 0.1250 0.1250 0.1250 [8 per cell]
Hg1 0.0000 0.0000 0.0000 [16 per cell]